No. 1
Material: LiAs2Rh
Method: DFT, PBE
State: relaxed

```
LiAs2Rh
1.0
4.127 0.000 0.000
0.000 4.127 0.000
0.000 0.000 3.581
As Li Rh
2 1 1
direct
0.000 0.000 0.000 As
0.500 0.500 0.000 As
0.500 0.000 0.500 Li
0.000 0.500 0.500 Rh
```

Values from the calculation:
calculated density = 7.1 g cm⁻³
ΔH_f (0 K) = -0.287 eV per atom
M_tot = 0.00 Bohr magnetons per cell

---

No. 2
Material: LiAs2Rh
Method: DFT, PBE
State: relaxed

```
LiAs2Rh
1.0
4.106 0.000 0.000
0.000 2.907 -0.021
0.000 0.031 5.453
As Li Rh
2 1 1
direct
0.000 0.751 0.008 As
0.000 0.749 0.492 As
0.500 0.250 0.250 Li
0.500 0.750 0.750 Rh
```

Values from the calculation:
calculated density = 6.6 g cm⁻³
ΔH_f (0 K) = -0.348 eV per atom
M_tot = 0.00 Bohr magnetons per cell

---

Q: Which formula does entry 2 have?
A: LiAs2Rh